(1)
# GaBiAu, optimized geometry, DFT GGA-PBE
data_GaBiAu
_symmetry_space_group_name_H-M 'P 1'
_symmetry_Int_Tables_number 1
_cell_length_a 3.330
_cell_length_b 3.330
_cell_length_c 6.613
_cell_angle_alpha 104.58
_cell_angle_beta 104.58
_cell_angle_gamma 90.00
loop_
_symmetry_equiv_pos_as_xyz
'x,y,z'
loop_
_atom_site_label
_atom_site_type_symbol
_atom_site_fract_x
_atom_site_fract_y
_atom_site_fract_z
Ga1 Ga 0.307 0.307 0.614
Au1 Au 0.688 0.688 0.376
Bi1 Bi 0.005 0.005 0.010
# - Energy: -3.385 eV/atom
# - N(E_F): 0.412 states/eV per atom
# - Space-group type: I4mm

(2)
# GaBiAu, optimized geometry, DFT GGA-PBE
data_GaBiAu
_symmetry_space_group_name_H-M 'P 1'
_symmetry_Int_Tables_number 1
_cell_length_a 4.169
_cell_length_b 4.439
_cell_length_c 4.439
_cell_angle_alpha 120.00
_cell_angle_beta 90.00
_cell_angle_gamma 90.00
loop_
_symmetry_equiv_pos_as_xyz
'x,y,z'
loop_
_atom_site_label
_atom_site_type_symbol
_atom_site_fract_x
_atom_site_fract_y
_atom_site_fract_z
Bi1 Bi 0.695 0.667 0.333
Ga1 Ga 0.225 0.333 0.667
Au1 Au 0.080 0.000 0.000
# - Energy: -3.432 eV/atom
# - N(E_F): 0.484 states/eV per atom
# - Space-group type: P3m1